Density functional theory data (PBE) for a relaxed NiPdRh crystal.

Values from the calculation:
Excess energy over the best structure of this formula in the dataset (meV/atom): 19
Calculated volume (Å³ per atom): 13.713
Total magnetic moment (μB per formula unit): 1.60

```
NiPdRh
1.0
-2.370 -4.500 1.696
2.554 -0.289 2.801
-3.668 6.493 4.014
Pd Rh Ni
4 4 4
Cartesian
-3.083 0.061 5.397 Pd
-3.405 4.357 3.554 Pd
-2.526 -3.042 1.989 Pd
-0.294 0.966 2.947 Pd
-3.517 3.777 6.175 Rh
-2.959 0.675 2.768 Rh
-1.437 -1.294 3.757 Rh
-4.548 2.097 4.363 Rh
-2.340 6.008 5.333 Ni
-1.910 2.336 4.562 Ni
-1.783 2.906 1.925 Ni
-1.352 -0.766 1.154 Ni
```

Density functional theory data (PBE) for a relaxed Ni2PdRh crystal.

Values from the calculation:
Total DFT energy (no corrections) (eV/atom): -5.97
Calculated volume (Å³ per atom): 13.167
Total magnetic moment (μB per formula unit): 2.56

```
Ni2PdRh
1.0
-2.156 1.332 -0.858
-2.383 -1.215 -0.071
-3.071 2.630 7.630
Ni Pd Rh
2 1 1
Cartesian
-1.895 0.675 1.640 Ni
-5.714 2.072 5.061 Ni
-3.805 1.374 3.350 Pd
0.000 0.000 0.000 Rh
```

Density functional theory data (PBE) for a relaxed Ni2Pd2Rh3 crystal.

Values from the calculation:
Total DFT energy (no corrections) (eV/atom): -6.16
Calculated volume (Å³ per atom): 14.127
Total magnetic moment (μB per formula unit): 2.26

```
Ni2Pd2Rh3
1.0
3.694 0.000 -0.625
0.000 2.684 0.000
-0.208 0.000 10.010
Pd Ni Rh
2 2 3
Cartesian
0.972 1.342 5.752 Pd
2.514 1.342 3.633 Pd
3.044 0.000 6.766 Ni
0.443 0.000 2.620 Ni
0.000 0.000 0.000 Rh
1.412 1.342 8.352 Rh
2.075 1.342 1.033 Rh
```

Density functional theory data (PBE) for a relaxed Ni2Pd8Rh crystal.

Values from the calculation:
Excess energy over the best structure of this formula in the dataset (meV/atom): 195
Calculated volume (Å³ per atom): 16.450
Total magnetic moment (μB per formula unit): 4.09

```
Ni2Pd8Rh
1.0
-4.229 0.590 1.518
-3.456 -4.109 -4.160
-1.448 -6.238 2.264
Pd Rh Ni
8 1 2
Cartesian
-4.106 -5.363 -1.985 Pd
-5.800 -3.575 -0.862 Pd
-3.105 -3.428 -0.165 Pd
-4.911 -1.774 0.947 Pd
-4.222 -7.982 -1.325 Pd
-3.333 -6.181 0.485 Pd
-5.028 -4.393 1.607 Pd
-6.029 -6.328 -0.212 Pd
0.000 0.000 0.000 Rh
-2.503 -0.882 0.491 Ni
-6.630 -8.874 -0.868 Ni
```

Density functional theory data (PBE) for a relaxed Ni7Pd12Rh crystal.

Values from the calculation:
Total DFT energy (no corrections) (eV/atom): -5.40
Calculated volume (Å³ per atom): 14.286
Total magnetic moment (μB per formula unit): 10.56

```
Ni7Pd12Rh
1.0
6.976 -0.029 -0.043
-1.968 6.693 -0.043
-1.968 -2.618 6.160
Pd Ni Rh
12 7 1
Cartesian
-0.539 3.533 2.292 Pd
1.899 1.589 5.781 Pd
2.043 -0.416 1.756 Pd
4.009 3.137 3.693 Pd
3.581 0.514 3.782 Pd
3.543 1.936 1.311 Pd
1.142 2.458 0.293 Pd
2.167 4.355 1.931 Pd
-0.967 0.909 2.381 Pd
0.875 -0.308 4.143 Pd
0.998 4.462 4.317 Pd
-0.502 2.110 4.763 Pd
5.617 2.143 -0.027 Ni
2.545 6.379 0.555 Ni
1.521 2.023 3.037 Ni
-2.379 5.159 1.967 Ni
5.420 -1.112 4.107 Ni
-2.575 1.904 6.101 Ni
0.496 -2.333 5.518 Ni
0.000 0.000 0.000 Rh
```

Density functional theory data (PBE) for a relaxed Ni4Pd3Rh crystal.

Values from the calculation:
Excess energy over the best structure of this formula in the dataset (meV/atom): 226
Calculated volume (Å³ per atom): 13.800
Total magnetic moment (μB per formula unit): 3.42

```
Ni4Pd3Rh
1.0
-4.361 3.379 -1.168
0.326 -5.547 -0.963
1.559 -1.975 5.047
Rh Ni Pd
1 4 3
Cartesian
-3.023 -0.580 0.327 Rh
1.130 -5.419 3.373 Ni
-0.952 -3.841 2.768 Ni
0.234 -1.842 1.431 Ni
1.030 -2.776 3.815 Ni
-1.794 -2.872 0.329 Pd
-0.782 0.392 1.082 Pd
-1.195 -1.014 3.296 Pd
```

> What is the formula in the third record?

Ni2Pd2Rh3

> Which of these has the highest calculated volume?

Ni2Pd8Rh

> Number 4 is which compound?

Ni2Pd8Rh